Computed, not measured: a relaxed MgMnPd2Ru crystal at the PBE-GGA level of DFT.

- Energy of formation: 1.45 eV per atom
- M_tot: 1.3 μB per cell
- Mass density: 7185 kg/m3
- VASP energy: -4.640 eV/atom

a b c (Å): 4.442 4.605 4.442
angles (deg): 90.00 90.00 90.00
Each line ends with the local moment (μB).
Atoms (fractional coordinates):
1 Ru 0.000 0.500 0.000  -1.10
2 Mg 0.000 0.000 0.000  0.01
3 Pd 0.500 0.000 0.000  -0.04
4 Pd 0.000 0.000 0.500  -0.09
5 Mn 0.500 0.500 0.500  -0.15